# 1
A plane-wave DFT calculation with GGA-PBE was carried out for a relaxed Pa2PtRh crystal.

```
Pa2PtRh
1.0
3.476 0.000 0.000
0.000 3.476 0.000
0.000 0.000 6.947
Pa Pt Rh
2 1 1
Cartesian
0.000 0.000 1.685
0.000 0.000 5.262
1.738 1.738 3.474
1.738 1.738 0.000
```

## Properties
The value obtained for the density of states at the Fermi level is 8.2 states/eV/f.u. The total energy comes out at -8.75 eV per atom. Its space group is P4/mmm, No. 123. The value obtained for the polymorph energy (0 for the lowest one) is 1 meV per atom.



# 2
A plane-wave DFT calculation with GGA-PBE was carried out for a relaxed PaPtRh2 crystal.

```
PaPtRh2
1.0
4.153 0.000 0.000
0.000 4.153 0.000
0.000 0.000 3.969
Pa Pt Rh
1 1 2
Cartesian
0.000 0.000 0.000
2.076 2.076 0.000
0.000 2.076 1.985
2.076 0.000 1.985
```

## Properties
The value obtained for the density of states at the Fermi level is 3.5 states/eV/f.u. The total energy comes out at -8.57 eV per atom. Its space group is P4/mmm, No. 123. The value obtained for the polymorph energy (0 for the lowest one) is 0 meV per atom.



# 3
A plane-wave DFT calculation with GGA-PBE was carried out for a relaxed PaPt3Rh3 crystal.

```
PaPt3Rh3
1.0
3.898 -4.004 0.000
3.898 4.004 0.000
0.000 0.000 7.885
Pa Pt Rh
2 6 6
Cartesian
1.776 0.000 0.000
6.021 0.000 0.000
1.949 2.002 2.033
1.949 2.002 5.851
1.949 -2.002 2.033
1.949 -2.002 5.851
3.898 0.000 2.086
3.898 0.000 5.799
1.745 0.000 3.942
3.898 2.047 3.942
3.898 2.029 0.000
3.898 -2.029 0.000
3.898 -2.047 3.942
6.052 0.000 3.942
```

## Properties
The value obtained for the density of states at the Fermi level is 8.5 states/eV/f.u. The total energy comes out at -7.47 eV per atom. Its space group is Cmmm, No. 65.



- Number 3 is which compound?
  PaPt3Rh3